No. 1
Here is a relaxed Y2HgRu crystal from Alexandria. Energies are from GGA-PBEsol.

a = 4.684 Å, b = 3.526 Å, c = 5.686 Å
α = 90.00°, β = 90.06°, γ = 90.00°
Positions (direct):
Y (0.000, 0.000, 0.000)
Y (0.500, 0.500, 0.500)
Hg (0.000, 0.000, 0.500)
Ru (0.500, 0.500, 0.000)

V in Å³ per atom: 23.476
Electronic total energy in eV/atom: -6.145

No. 2
Here is a relaxed HfZrAs2Au crystal from Alexandria. Energies are from GGA-PBEsol.

a = 4.928 Å, b = 4.928 Å, c = 5.173 Å
α = 90.00°, β = 90.00°, γ = 90.00°
Positions (direct):
Hf (0.000, 0.000, 0.000)
Zr (0.000, 0.000, 0.500)
As (0.000, 0.500, 0.000)
As (0.500, 0.000, 0.000)
Au (0.500, 0.500, 0.500)

V in Å³ per atom: 25.128
Electronic total energy in eV/atom: -6.049

No. 3
Here is a relaxed Na3ReTc crystal from Alexandria. Energies are from GGA-PBEsol.

a = 5.480 Å, b = 5.480 Å, c = 5.480 Å
α = 90.00°, β = 90.00°, γ = 90.00°
Positions (direct):
Na (0.000, 0.000, 0.500)
Na (0.000, 0.500, 0.000)
Na (0.500, 0.000, 0.000)
Re (0.500, 0.500, 0.500)
Tc (0.000, 0.000, 0.000)

V in Å³ per atom: 32.909
Electronic total energy in eV/atom: -3.133

No. 4
Here is a relaxed YCuAg crystal from Alexandria. Energies are from GGA-PBEsol.

a = 4.421 Å, b = 4.421 Å, c = 3.452 Å
α = 90.00°, β = 90.00°, γ = 120.00°
Positions (direct):
Y (0.000, 0.000, 0.000)
Cu (0.333, 0.667, 0.500)
Ag (0.667, 0.333, 0.500)

V in Å³ per atom: 19.475
Offset from the most stable computed form in meV per atom: 0
Electronic total energy in eV/atom: -5.049

No. 5
Here is a relaxed KGa2Ir2 crystal from Alexandria. Energies are from GGA-PBEsol.

a = 4.319 Å, b = 4.319 Å, c = 10.176 Å
α = 90.00°, β = 90.00°, γ = 90.00°
Positions (direct):
K (0.000, 0.000, 0.000)
K (0.500, 0.500, 0.500)
Ga (0.000, 0.500, 0.250)
Ga (0.000, 0.500, 0.750)
Ga (0.500, 0.000, 0.250)
Ga (0.500, 0.000, 0.750)
Ir (0.000, 0.000, 0.379)
Ir (0.000, 0.000, 0.621)
Ir (0.500, 0.500, 0.121)
Ir (0.500, 0.500, 0.879)

V in Å³ per atom: 18.979
Electronic total energy in eV/atom: -5.549

No. 6
Here is a relaxed ZnCo2Mo crystal from Alexandria. Energies are from GGA-PBEsol.

a = 2.643 Å, b = 3.379 Å, c = 5.354 Å
α = 90.00°, β = 90.00°, γ = 90.00°
Positions (direct):
Zn (0.000, 0.000, 0.000)
Co (0.500, 0.500, 0.249)
Co (0.500, 0.500, 0.751)
Mo (0.000, 0.000, 0.500)

V in Å³ per atom: 11.953
Electronic total energy in eV/atom: -7.210

No. 7
Here is a relaxed HgAuSe2 crystal from Alexandria. Energies are from GGA-PBEsol.

a = 5.974 Å, b = 5.974 Å, c = 11.952 Å
α = 90.00°, β = 90.00°, γ = 90.00°
Positions (direct):
Hg (0.000, 0.000, 0.000)
Hg (0.000, 0.500, 0.250)
Hg (0.500, 0.000, 0.750)
Hg (0.500, 0.500, 0.500)
Au (0.000, 0.000, 0.500)
Au (0.000, 0.500, 0.750)
Au (0.500, 0.000, 0.250)
Au (0.500, 0.500, 0.000)
Se (0.230, 0.250, 0.625)
Se (0.250, 0.730, 0.875)
Se (0.250, 0.770, 0.375)
Se (0.270, 0.250, 0.125)
Se (0.730, 0.750, 0.125)
Se (0.750, 0.230, 0.375)
Se (0.750, 0.270, 0.875)
Se (0.770, 0.750, 0.625)

V in Å³ per atom: 26.659
Formation energy from raw total energies in kJ/mol of formula units: -1
Electronic total energy in eV/atom: -3.051

No. 8
Here is a relaxed Fe2TePt crystal from Alexandria. Energies are from GGA-PBEsol.

a = 3.876 Å, b = 3.888 Å, c = 3.998 Å
α = 90.00°, β = 90.00°, γ = 90.00°
Positions (direct):
Fe (0.000, 0.000, 0.000)
Fe (0.500, 0.500, 0.000)
Te (0.000, 0.500, 0.500)
Pt (0.500, 0.000, 0.500)

V in Å³ per atom: 15.066
Formation energy from raw total energies in kJ/mol of formula units: 84
Electronic total energy in eV/atom: -6.886

No. 9
Here is a relaxed LaSe2S crystal from Alexandria. Energies are from GGA-PBEsol.

a = 4.499 Å, b = 4.499 Å, c = 23.171 Å
α = 90.00°, β = 90.00°, γ = 120.00°
Positions (direct):
La (0.000, 0.000, 0.000)
La (0.333, 0.667, 0.667)
La (0.667, 0.333, 0.333)
Se (0.000, 0.000, 0.396)
Se (0.000, 0.000, 0.604)
Se (0.333, 0.667, 0.063)
Se (0.333, 0.667, 0.270)
Se (0.667, 0.333, 0.730)
Se (0.667, 0.333, 0.937)
S (0.000, 0.000, 0.500)
S (0.333, 0.667, 0.167)
S (0.667, 0.333, 0.833)

V in Å³ per atom: 33.853
Formation energy from raw total energies in kJ/mol of formula units: -292
Electronic total energy in eV/atom: -5.115

No. 10
Here is a relaxed Cu3BO5 crystal from Alexandria. Energies are from GGA-PBEsol.

a = 3.201 Å, b = 9.320 Å, c = 11.853 Å
α = 90.00°, β = 93.58°, γ = 90.00°
Positions (direct):
Cu (0.000, 0.000, 0.000)
Cu (0.000, 0.500, 0.500)
Cu (0.075, 0.016, 0.275)
Cu (0.075, 0.484, 0.775)
Cu (0.408, 0.734, 0.623)
Cu (0.408, 0.766, 0.123)
Cu (0.500, 0.000, 0.500)
Cu (0.500, 0.500, 0.000)
Cu (0.592, 0.234, 0.877)
Cu (0.592, 0.266, 0.377)
Cu (0.925, 0.516, 0.225)
Cu (0.925, 0.984, 0.725)
B (0.360, 0.736, 0.369)
B (0.360, 0.764, 0.869)
B (0.640, 0.236, 0.131)
B (0.640, 0.264, 0.631)
O (0.007, 0.588, 0.644)
O (0.007, 0.912, 0.144)
O (0.186, 0.126, 0.410)
O (0.186, 0.374, 0.910)
O (0.314, 0.667, 0.266)
O (0.314, 0.833, 0.766)
O (0.351, 0.659, 0.468)
O (0.351, 0.841, 0.968)
O (0.439, 0.618, 0.869)
O (0.439, 0.882, 0.369)
O (0.561, 0.118, 0.631)
O (0.561, 0.382, 0.131)
O (0.649, 0.159, 0.032)
O (0.649, 0.341, 0.532)
O (0.686, 0.167, 0.234)
O (0.686, 0.333, 0.734)
O (0.814, 0.626, 0.090)
O (0.814, 0.874, 0.590)
O (0.993, 0.088, 0.856)
O (0.993, 0.412, 0.356)

V in Å³ per atom: 9.804
Formation energy from raw total energies in kJ/mol of formula units: -904
Electronic total energy in eV/atom: -6.181

No. 11
Here is a relaxed Sb2As crystal from Alexandria. Energies are from GGA-PBEsol.

a = 5.171 Å, b = 5.171 Å, c = 6.090 Å
α = 90.00°, β = 90.00°, γ = 120.00°
Positions (direct):
Sb (0.000, 0.000, 0.000)
Sb (0.000, 0.000, 0.500)
Sb (0.333, 0.667, 0.250)
Sb (0.667, 0.333, 0.750)
As (0.333, 0.667, 0.750)
As (0.667, 0.333, 0.250)

V in Å³ per atom: 23.500
Offset from the most stable computed form in meV per atom: 210
Formation energy from raw total energies in kJ/mol of formula units: 73
Electronic total energy in eV/atom: -4.489

No. 12
Here is a relaxed LiMn2Os crystal from Alexandria. Energies are from GGA-PBEsol.

a = 2.793 Å, b = 3.922 Å, c = 8.087 Å
α = 90.00°, β = 90.00°, γ = 90.00°
Positions (direct):
Li (0.000, 0.000, 0.000)
Li (0.500, 0.500, 0.500)
Mn (0.000, 0.500, 0.250)
Mn (0.000, 0.500, 0.750)
Mn (0.500, 0.000, 0.250)
Mn (0.500, 0.000, 0.750)
Os (0.000, 0.000, 0.500)
Os (0.500, 0.500, 0.000)

V in Å³ per atom: 11.072
Electronic total energy in eV/atom: -8.113